VASP calculation (PBEsol) on La2CdBSe after structural relaxation.

Properties
ΔE_f (raw) = 0.44 eV/atom
symmetry = P4/mmm (123)
E_tot = -20.5 eV/f.u.
M_tot = 0.00 Bohr magnetons per cell
N(E_F) = 4.438 states/eV/f.u.

The structure in POSCAR format:
```
La2CdBSe
1.0
5.550 0.000 0.000
0.000 5.550 0.000
0.000 0.000 4.924
La Cd B Se
2 1 1 1
Cartesian
0.000 2.775 0.000
2.775 0.000 0.000
0.000 0.000 2.462
2.775 2.775 2.462
0.000 0.000 0.000
```

---

VASP calculation (PBEsol) on LiCdBO3 after structural relaxation.

Properties
ΔE_f (raw) = -1.96 eV/atom
symmetry = P-6 (174)
E_tot = -37.7 eV/f.u.
M_tot = 0.00 Bohr magnetons per cell
N(E_F) = 0.000 states/eV/f.u.

The structure in POSCAR format:
```
LiCdBO3
1.0
8.329 0.000 0.000
-4.164 7.213 0.000
0.000 0.000 3.241
Li Cd B O
3 3 3 9
Cartesian
-1.146 2.103 0.000
-1.770 7.154 0.000
2.917 5.169 0.000
1.555 2.623 1.620
5.280 0.035 1.620
5.659 4.555 1.620
0.000 0.000 1.620
0.000 4.809 0.000
4.164 2.404 0.000
-0.262 1.365 1.620
-2.851 6.757 1.620
-1.150 4.037 0.000
-0.094 6.190 0.000
1.244 4.199 0.000
2.922 1.786 0.000
5.321 1.638 0.000
4.250 3.789 0.000
3.113 6.304 1.620
```

---

VASP calculation (PBEsol) on Mg3CdB after structural relaxation.

Properties
calculated formation energy = 166 meV per atom
symmetry = Pm-3m (221)
E_tot = -12.5 eV/f.u.
M_tot = 0.00 Bohr magnetons per cell
N(E_F) = 1.716 states/eV/f.u.

The structure in POSCAR format:
```
Mg3CdB
1.0
4.584 0.000 0.000
0.000 4.584 0.000
0.000 0.000 4.584
Mg Cd B
3 1 1
Cartesian
0.000 0.000 2.292
0.000 2.292 0.000
2.292 0.000 0.000
2.292 2.292 2.292
0.000 0.000 0.000
```

---

VASP calculation (PBEsol) on MgNbCd2B after structural relaxation.

Properties
calculated formation energy = 844 meV per atom
symmetry = P4/mmm (123)
E_tot = -17.7 eV/f.u.
M_tot = 0.00 Bohr magnetons per cell
N(E_F) = 2.633 states/eV/f.u.

The structure in POSCAR format:
```
MgNbCd2B
1.0
4.444 0.000 0.000
0.000 4.444 0.000
0.000 0.000 4.482
Mg Nb Cd B
1 1 2 1
Cartesian
0.000 0.000 0.000
2.222 2.222 0.000
0.000 2.222 2.241
2.222 0.000 2.241
0.000 0.000 2.241
```

---

VASP calculation (PBEsol) on MgTiCd2B after structural relaxation.

Properties
calculated formation energy = 945 meV per atom
symmetry = P4/mmm (123)
E_tot = -14.7 eV/f.u.
M_tot = 0.39 Bohr magnetons per cell
N(E_F) = 3.698 states/eV/f.u.

The structure in POSCAR format:
```
MgTiCd2B
1.0
5.272 0.000 0.000
0.000 5.272 0.000
0.000 0.000 4.073
Mg Ti Cd B
1 1 2 1
Cartesian
0.000 0.000 0.000
2.636 2.636 2.036
0.000 2.636 2.036
2.636 0.000 2.036
2.636 2.636 0.000
```

---

VASP calculation (PBEsol) on CdBMo3 after structural relaxation.

Properties
calculated formation energy = 347 meV per atom
symmetry = Pm-3m (221)
E_tot = -41.8 eV/f.u.
M_tot = 0.00 Bohr magnetons per cell
N(E_F) = 4.853 states/eV/f.u.

The structure in POSCAR format:
```
CdBMo3
1.0
4.202 0.000 0.000
0.000 4.202 0.000
0.000 0.000 4.202
Cd B Mo
1 1 3
Cartesian
0.000 0.000 0.000
2.101 2.101 2.101
0.000 2.101 2.101
2.101 0.000 2.101
2.101 2.101 0.000
```

---

VASP calculation (PBEsol) on CdBMo3 after structural relaxation.

Properties
calculated formation energy = 3550 meV per atom
symmetry = Pm-3m (221)
E_tot = -25.8 eV/f.u.
M_tot = 0.00 Bohr magnetons per cell
N(E_F) = 9.163 states/eV/f.u.

The structure in POSCAR format:
```
CdBMo3
1.0
4.754 0.000 0.000
0.000 4.754 0.000
0.000 0.000 4.754
Cd B Mo
1 1 3
Cartesian
0.000 0.000 0.000
2.377 2.377 2.377
0.000 0.000 2.377
0.000 2.377 0.000
2.377 0.000 0.000
```

---

VASP calculation (PBEsol) on CdBN2 after structural relaxation.

Properties
ΔE_f (raw) = -0.04 eV/atom
symmetry = I-42d (122)
E_tot = -25.4 eV/f.u.
M_tot = 1.69 Bohr magnetons per cell
N(E_F) = 2.509 states/eV/f.u.

The structure in POSCAR format:
```
CdBN2
1.0
4.611 0.000 0.000
0.000 4.611 0.000
0.000 0.000 7.150
Cd B N
4 4 8
Cartesian
0.000 0.000 0.000
0.000 2.306 1.787
2.306 0.000 5.362
2.306 2.306 3.575
0.000 0.000 3.575
0.000 2.306 5.362
2.306 0.000 1.787
2.306 2.306 0.000
0.598 3.458 4.469
1.153 0.598 2.681
1.153 1.707 6.256
1.707 3.458 0.894
2.904 1.153 0.894
3.458 2.904 6.256
3.458 4.013 2.681
4.013 1.153 4.469
```

---

VASP calculation (PBEsol) on CdBN3 after structural relaxation.

Properties
ΔE_f (raw) = 3.26 eV/atom
symmetry = Pm-3m (221)
E_tot = -17.5 eV/f.u.
M_tot = 4.65 Bohr magnetons per cell
N(E_F) = 1.850 states/eV/f.u.

The structure in POSCAR format:
```
CdBN3
1.0
4.215 0.000 0.000
0.000 4.215 0.000
0.000 0.000 4.215
Cd B N
1 1 3
Cartesian
0.000 0.000 0.000
2.107 2.107 2.107
0.000 0.000 2.107
0.000 2.107 0.000
2.107 0.000 0.000
```

---

VASP calculation (PBEsol) on SrCdB2N after structural relaxation.

Properties
ΔE_f (raw) = 1.40 eV/atom
symmetry = P4/mmm (123)
E_tot = -18.6 eV/f.u.
M_tot = 0.00 Bohr magnetons per cell
N(E_F) = 2.090 states/eV/f.u.

The structure in POSCAR format:
```
SrCdB2N
1.0
4.030 0.000 0.000
0.000 4.030 0.000
0.000 0.000 4.701
Sr Cd B N
1 1 2 1
Cartesian
0.000 0.000 0.000
2.015 2.015 0.000
0.000 2.015 2.351
2.015 0.000 2.351
0.000 0.000 2.351
```

---

VASP calculation (PBEsol) on CdBTe2N after structural relaxation.

Properties
ΔE_f (raw) = 0.12 eV/atom
symmetry = P4/mmm (123)
E_tot = -23.2 eV/f.u.
M_tot = 0.00 Bohr magnetons per cell
N(E_F) = 2.731 states/eV/f.u.

The structure in POSCAR format:
```
CdBTe2N
1.0
6.646 0.000 0.000
0.000 6.646 0.000
0.000 0.000 2.698
Cd B Te N
1 1 2 1
Cartesian
0.000 0.000 0.000
3.323 3.323 1.349
0.000 3.323 1.349
3.323 0.000 1.349
3.323 3.323 0.000
```

---

VASP calculation (PBEsol) on YCdBN2 after structural relaxation.

Properties
ΔE_f (raw) = 1.77 eV/atom
symmetry = P4/mmm (123)
E_tot = -23.3 eV/f.u.
M_tot = 0.00 Bohr magnetons per cell
N(E_F) = 3.232 states/eV/f.u.

The structure in POSCAR format:
```
YCdBN2
1.0
4.125 0.000 0.000
0.000 4.125 0.000
0.000 0.000 6.194
Y Cd B N
1 1 1 2
Cartesian
0.000 0.000 0.000
0.000 0.000 3.097
2.062 2.062 3.097
0.000 2.062 0.000
2.062 0.000 0.000
```

---

VASP calculation (PBEsol) on CdNi3B after structural relaxation.

Properties
calculated formation energy = -134 meV per atom
symmetry = Pm-3m (221)
E_tot = -27.4 eV/f.u.
M_tot = 0.00 Bohr magnetons per cell
N(E_F) = 3.742 states/eV/f.u.

The structure in POSCAR format:
```
CdNi3B
1.0
3.851 0.000 0.000
0.000 3.851 0.000
0.000 0.000 3.851
Cd Ni B
1 3 1
Cartesian
0.000 0.000 0.000
0.000 1.926 1.926
1.926 0.000 1.926
1.926 1.926 0.000
1.926 1.926 1.926
```

---

VASP calculation (PBEsol) on Cd3NiB after structural relaxation.

Properties
calculated formation energy = 1173 meV per atom
symmetry = Pm-3m (221)
E_tot = -10.9 eV/f.u.
M_tot = 0.00 Bohr magnetons per cell
N(E_F) = 2.552 states/eV/f.u.

The structure in POSCAR format:
```
Cd3NiB
1.0
4.798 0.000 0.000
0.000 4.798 0.000
0.000 0.000 4.798
Cd Ni B
3 1 1
Cartesian
0.000 0.000 2.399
0.000 2.399 0.000
2.399 0.000 0.000
0.000 0.000 0.000
2.399 2.399 2.399
```

---

VASP calculation (PBEsol) on CdNiB3 after structural relaxation.

Properties
calculated formation energy = 1095 meV per atom
symmetry = Pm-3m (221)
E_tot = -22.9 eV/f.u.
M_tot = 0.00 Bohr magnetons per cell
N(E_F) = 1.811 states/eV/f.u.

The structure in POSCAR format:
```
CdNiB3
1.0
3.859 0.000 0.000
0.000 3.859 0.000
0.000 0.000 3.859
Cd Ni B
1 1 3
Cartesian
0.000 0.000 0.000
1.930 1.930 1.930
0.000 1.930 1.930
1.930 0.000 1.930
1.930 1.930 0.000
```

---

VASP calculation (PBEsol) on Cd3B2O6 after structural relaxation.

Properties
ΔE_f (raw) = -1.70 eV/atom
symmetry = P-1 (2)
E_tot = -67.8 eV/f.u.
M_tot = 0.00 Bohr magnetons per cell
N(E_F) = 0.000 states/eV/f.u.

The structure in POSCAR format:
```
Cd3B2O6
1.0
6.124 0.000 0.000
0.811 6.123 0.000
1.209 1.608 7.183
Cd B O
6 4 12
Cartesian
1.557 2.271 3.576
1.526 0.485 0.422
3.668 4.684 5.709
4.476 3.047 1.475
6.618 7.245 6.762
6.587 5.460 3.607
1.359 3.680 0.993
3.650 5.697 2.679
4.494 2.033 4.504
6.785 4.051 6.191
1.467 4.017 5.060
2.478 6.231 7.152
2.386 6.297 2.738
2.266 2.645 0.818
4.037 2.357 5.776
3.763 2.326 3.386
4.381 5.405 3.797
4.107 5.374 1.407
5.878 5.086 6.365
5.758 1.434 4.445
5.666 1.500 0.031
6.677 3.714 2.124
```

---

VASP calculation (PBEsol) on CdB2O4 after structural relaxation.

Properties
ΔE_f (raw) = -2.10 eV/atom
symmetry = P6_3 (173)
E_tot = -51.0 eV/f.u.
M_tot = 0.00 Bohr magnetons per cell
N(E_F) = 0.000 states/eV/f.u.

The structure in POSCAR format:
```
CdB2O4
1.0
8.885 0.000 0.000
-4.443 7.695 0.000
0.000 0.000 7.177
Cd B O
8 16 32
Cartesian
0.000 0.000 0.000
0.000 0.000 3.588
-1.924 4.002 0.170
-0.015 7.360 0.170
1.939 4.028 0.170
2.504 3.667 3.758
4.458 0.335 3.758
6.366 3.693 3.758
-0.109 2.531 5.165
-0.095 2.518 2.392
-2.215 6.518 2.392
-2.196 6.523 5.165
2.133 1.341 5.980
2.138 1.360 1.577
0.000 5.130 2.230
0.000 5.130 5.018
4.443 2.565 1.430
4.443 2.565 5.819
2.305 6.335 5.165
2.309 6.354 2.392
6.639 1.172 1.577
6.657 1.177 5.980
4.537 5.177 5.980
4.551 5.163 1.577
-0.792 1.426 1.694
-1.271 2.295 6.065
-0.651 2.544 3.782
-2.812 7.668 1.694
0.839 1.399 5.282
-1.394 5.332 5.530
-0.348 3.789 1.674
-1.914 6.987 3.782
-0.987 6.102 1.674
-1.820 7.648 6.065
1.352 2.248 2.477
0.522 3.822 5.530
1.878 1.836 0.194
0.000 5.130 3.617
3.107 2.196 5.263
3.570 1.459 1.942
0.872 6.236 5.530
1.336 5.499 1.674
4.443 2.565 0.029
2.565 5.859 3.782
3.921 3.873 1.942
3.091 5.447 6.065
6.262 0.046 2.477
5.430 1.593 5.263
6.356 0.708 0.194
4.791 3.906 5.263
5.837 2.363 1.942
3.604 6.296 1.694
7.254 0.027 5.282
5.094 5.151 0.194
5.714 5.400 2.477
5.235 6.269 5.282
```

---

VASP calculation (PBEsol) on CdB2O4 after structural relaxation.

Properties
ΔE_f (raw) = -2.09 eV/atom
symmetry = Pccn (56)
E_tot = -50.8 eV/f.u.
M_tot = 0.00 Bohr magnetons per cell
N(E_F) = 0.000 states/eV/f.u.

The structure in POSCAR format:
```
CdB2O4
1.0
8.154 0.000 0.000
0.000 14.070 0.000
0.000 0.000 5.073
Cd B O
8 16 32
Cartesian
0.938 2.106 0.084
0.938 4.929 2.621
3.139 2.106 2.621
3.139 4.929 0.084
5.015 9.141 4.989
5.015 11.964 2.452
7.216 9.141 2.452
7.216 11.964 4.989
0.273 8.970 4.914
0.273 12.134 2.378
1.978 7.735 1.172
1.978 13.369 3.708
2.099 7.735 3.708
2.099 13.369 1.172
3.804 8.970 2.378
3.804 12.134 4.914
4.350 1.935 0.158
4.350 5.099 2.695
6.055 0.700 3.901
6.055 6.334 1.365
6.176 0.700 1.365
6.176 6.334 3.901
7.881 1.935 2.695
7.881 5.099 0.158
0.699 8.499 1.054
0.699 12.605 3.590
0.886 2.670 2.794
0.886 4.365 0.258
0.977 8.697 3.775
0.977 12.408 1.238
1.945 0.081 4.973
1.945 6.954 2.436
2.132 0.081 2.436
2.132 6.954 4.973
3.100 8.697 1.238
3.100 12.408 3.775
3.191 2.670 0.258
3.191 4.365 2.794
3.378 8.499 3.590
3.378 12.605 1.054
4.776 1.464 4.019
4.776 5.570 1.483
4.963 9.705 2.279
4.963 11.400 4.815
5.053 1.662 1.298
5.053 5.373 3.835
6.021 7.116 0.100
6.021 13.989 2.637
6.209 7.116 2.637
6.209 13.989 0.100
7.177 1.662 3.835
7.177 5.373 1.298
7.268 9.705 4.815
7.268 11.400 2.279
7.455 1.464 1.483
7.455 5.570 4.019
```

---

VASP calculation (PBEsol) on Cd3B2O6 after structural relaxation.

Properties
ΔE_f (raw) = -1.71 eV/atom
symmetry = Pnnm (58)
E_tot = -67.9 eV/f.u.
M_tot = 0.00 Bohr magnetons per cell
N(E_F) = 0.000 states/eV/f.u.

The structure in POSCAR format:
```
Cd3B2O6
1.0
4.786 0.000 0.000
0.000 5.978 0.000
0.000 0.000 9.057
Cd B O
6 4 12
Cartesian
0.000 0.000 0.000
0.000 2.989 1.709
0.000 2.989 7.348
2.393 0.000 2.819
2.393 0.000 6.238
2.393 2.989 4.528
0.166 1.433 4.528
2.226 4.422 0.000
2.559 1.556 0.000
4.619 4.545 4.528
0.863 1.695 3.342
0.863 1.695 5.715
1.161 4.923 4.528
1.232 1.934 0.000
1.530 4.684 1.187
1.530 4.684 7.870
3.256 1.294 1.187
3.256 1.294 7.870
3.554 4.044 0.000
3.624 1.055 4.528
3.923 4.283 3.342
3.923 4.283 5.715
```